# Al4Cu9 | Alexandria via LeMat-Bulk | GGA-PBE | optimized geometry
data_Al4Cu9
_chemical_formula_sum 'Al16 Cu36'
_space_group_name_H-M_alt 'P -4 3 m'
_space_group_IT_number 215
_space_group_name_Hall 'P -4 2 3'
_cell_length_a 8.724
_cell_length_b 8.724
_cell_length_c 8.724
_cell_angle_alpha 90.00
_cell_angle_beta 90.00
_cell_angle_gamma 90.00
loop_
_atom_site_label
_atom_site_fract_x
_atom_site_fract_y
_atom_site_fract_z
Al1 0.035 0.309 0.309
Al2 0.379 0.379 0.621
Cu1 0.000 0.000 0.355
Cu2 0.106 0.106 0.106
Cu3 0.144 0.500 0.500
Cu4 0.175 0.175 0.825
Cu5 0.184 0.184 0.531
Cu6 0.331 0.331 0.331
# Energy relative to the elements in meV per atom: -212
# Calculated volume in Å³ per cell: 664